Version one
Entry from Alexandria: crystalline NdSbF at its relaxed geometry (PBE-GGA).

Volume = 71.2 Å³/cell

a b c (Å): 4.8872 4.1011 4.1011
angles (deg): 120.00 90.00 90.00
Last column: nearest neighbours and their distance in Å.
Sites, in units of the cell vectors:
Sb (0.6667, 0.6667, 0.3333)  6 F 3.40, 6 Nd 3.40
F (0.1666, 0.3333, 0.6667)  3 Nd 2.37
Nd (0.1667, 0.0000, 0.0000)  3 F 2.37



Version two
Entry from Alexandria: crystalline NdSbF at its relaxed geometry (PBE-GGA).

Volume = 153.6 Å³/cell

a b c (Å): 4.2033 7.0264 7.3887
angles (deg): 130.60 106.53 90.00
Last column: nearest neighbours and their distance in Å.
Sites, in units of the cell vectors:
Nd (0.1883, 0.6396, 0.3766)  3 F 2.40-2.45
Nd (0.8117, 0.3604, 0.6234)  3 F 2.40-2.45
F (0.2168, 0.3394, 0.4335)  3 Nd 2.40-2.45
F (0.7832, 0.6606, 0.5665)  3 Nd 2.40-2.45
Sb (0.4531, 0.2428, 0.9062)  1 Sb 2.88
Sb (0.5469, 0.7572, 0.0938)  1 Sb 2.88



Most stable: version two. Least stable: version one.



Version one
Entry from Alexandria: crystalline Nd2SiF at its relaxed geometry (PBE-GGA).

Volume = 127.6 Å³/cell

a b c (Å): 4.3879 4.3879 8.0616
angles (deg): 74.21 74.21 60.00
Last column: nearest neighbours and their distance in Å.
Sites, in units of the cell vectors:
Si (0.5000, 0.5000, 0.5000)  6 Nd 2.95
F (0.0000, 0.0000, 0.0000)  2 Nd 2.32
Nd (0.1010, 0.1010, 0.6969)  1 F 2.32
Nd (0.8990, 0.8990, 0.3031)  1 F 2.32



Version two
Entry from Alexandria: crystalline Nd2SiF at its relaxed geometry (PBE-GGA).

Volume = 97.3 Å³/cell

a b c (Å): 4.0097 4.0097 7.3617
angles (deg): 74.20 74.20 60.00
Last column: nearest neighbours and their distance in Å.
Sites, in units of the cell vectors:
Nd (0.2565, 0.2565, 0.2305)  3 Si 2.85, 3 F 3.09
Nd (0.0824, 0.0824, 0.7527)  3 F 2.81, 3 Si 2.86
F (0.4921, 0.4921, 0.5236)  6 Nd 2.81-3.09
Si (0.6689, 0.6689, 0.9932)  6 Nd 2.85-2.86



Most stable: version one. Least stable: version two.



Version one
Entry from Alexandria: crystalline NdSnF at its relaxed geometry (PBE-GGA).

Volume = 69.7 Å³/cell

a b c (Å): 3.4086 3.4086 6.4684
angles (deg): 105.28 105.28 90.00
Last column: nearest neighbours and their distance in Å.
Sites, in units of the cell vectors:
Sn (0.0066, 0.0066, 0.0132)  1 F 3.20, 4 Sn 3.41, 5 Nd 3.43-3.52
F (0.2729, 0.2729, 0.5457)  4 Nd 2.49
Nd (0.7205, 0.7205, 0.4411)  4 F 2.49



Version two
Entry from Alexandria: crystalline NdSnF at its relaxed geometry (PBE-GGA).

Volume = 74.5 Å³/cell

a b c (Å): 5.3228 4.0200 4.0200
angles (deg): 120.00 90.00 90.00
Last column: nearest neighbours and their distance in Å.
Sites, in units of the cell vectors:
F (0.1669, 0.3333, 0.6667)  3 Nd 2.32
Nd (0.1665, 0.0000, 0.0000)  3 F 2.32
Sn (0.6666, 0.6667, 0.3333)  6 F 3.53, 6 Nd 3.53



Most stable: version two. Least stable: version one.



Version one
Entry from Alexandria: crystalline Nd2TlF at its relaxed geometry (PBE-GGA).

Volume = 100.3 Å³/cell

a b c (Å): 3.8462 3.8462 8.1415
angles (deg): 76.34 76.34 60.00
Last column: nearest neighbours and their distance in Å.
Sites, in units of the cell vectors:
Nd (0.7282, 0.7282, 0.8155)  3 F 2.65
Nd (0.2718, 0.2718, 0.1845)  3 F 2.65
F (0.0000, 0.0000, 0.0000)  6 Nd 2.65
Tl (0.5000, 0.5000, 0.5000)  6 Nd 3.32



Version two
Entry from Alexandria: crystalline Nd2TlF at its relaxed geometry (PBE-GGA).

Volume = 95.1 Å³/cell

a b c (Å): 3.4291 3.4291 8.0868
angles (deg): 90.00 90.00 90.00
Last column: nearest neighbours and their distance in Å.
Sites, in units of the cell vectors:
F (0.5000, 0.5000, 0.0000)  8 Nd 3.04
Nd (0.0000, 0.0000, 0.7734)  4 F 3.04, 4 Tl 3.28
Nd (0.0000, 0.0000, 0.2266)  4 F 3.04, 4 Tl 3.28
Tl (0.5000, 0.5000, 0.5000)  8 Nd 3.28, 4 Tl 3.43



Most stable: version one. Least stable: version two.